[1]
A plane-wave DFT calculation with PBE-GGA was carried out for P2RuSeN after structural relaxation.

Uncorrected formation energy: 0.045 eV per atom
SG: P1, No. 1

Lattice parameters (Å, degrees): 3.002 4.421 6.297 100.77 103.77 100.43
Positions (direct):
P 0.000 0.000 0.000
P 0.214 0.714 0.272
Ru 0.900 0.846 0.573
Se 0.314 0.424 0.675
N 0.093 0.355 0.133

=====

[2]
A plane-wave DFT calculation with PBE-GGA was carried out for Ac2ErAs4Rh3 after structural relaxation.

SG: P-4m2, No. 115
ΔH_f (0 K): -970 kJ/mol of formula units

Lattice parameters (Å, degrees): 4.424 4.424 10.978 90.00 90.00 90.00
Positions (direct):
Ac 0.000 0.500 0.226
Ac 0.500 0.000 0.774
Er 0.000 0.000 0.500
As 0.000 0.000 0.000
As 0.000 0.500 0.657
As 0.500 0.000 0.343
As 0.500 0.500 0.000
Rh 0.000 0.500 0.892
Rh 0.500 0.000 0.108
Rh 0.500 0.500 0.500

=====

[3]
A plane-wave DFT calculation with PBE-GGA was carried out for V4Fe2Ir after structural relaxation.

SG: I4/mmm, No. 139
ΔH_f (0 K): 656 kJ/mol of formula units

Lattice parameters (Å, degrees): 6.701 6.701 6.701 140.09 140.09 57.72
Positions (direct):
V 0.000 0.500 0.500
V 0.210 0.210 0.000
V 0.500 0.000 0.500
V 0.790 0.790 0.000
Fe 0.394 0.394 0.000
Fe 0.606 0.606 0.000
Ir 0.000 0.000 0.000

=====

[4]
A plane-wave DFT calculation with PBE-GGA was carried out for CeHo4Th after structural relaxation.

SG: C2/m, No. 12
ΔH_f (0 K): 4 kJ/mol of formula units

Lattice parameters (Å, degrees): 8.700 8.700 6.144 96.75 96.75 23.58
Positions (direct):
Ce 0.000 0.000 0.000
Ho 0.165 0.165 0.388
Ho 0.335 0.335 0.112
Ho 0.665 0.665 0.888
Ho 0.835 0.835 0.612
Th 0.500 0.500 0.500

=====

[5]
A plane-wave DFT calculation with PBE-GGA was carried out for TlNiW2 after structural relaxation.

SG: Imm2, No. 44
ΔH_f (0 K): 260 kJ/mol of formula units

Lattice parameters (Å, degrees): 5.104 5.104 5.104 141.43 126.37 67.99
Positions (direct):
Tl 0.000 0.000 0.000
Ni 0.757 0.257 0.500
W 0.281 0.781 0.500
W 0.520 0.520 0.000

=====

[6]
A plane-wave DFT calculation with PBE-GGA was carried out for Li3NbAl after structural relaxation.

SG: Pm-3m, No. 221
ΔH_f (0 K): 442 kJ/mol of formula units

Lattice parameters (Å, degrees): 4.460 4.460 4.460 90.00 90.00 90.00
Positions (direct):
Li 0.000 0.000 0.500
Li 0.000 0.500 0.000
Li 0.500 0.000 0.000
Nb 0.500 0.500 0.500
Al 0.000 0.000 0.000

=====

Question: Number 3 is which compound?
Answer: V4Fe2Ir

=====

Please write out number 4 again, unchanged.
A plane-wave DFT calculation with PBE-GGA was carried out for CeHo4Th after structural relaxation.

SG: C2/m, No. 12
ΔH_f (0 K): 4 kJ/mol of formula units

Lattice parameters (Å, degrees): 8.700 8.700 6.144 96.75 96.75 23.58
Positions (direct):
Ce 0.000 0.000 0.000
Ho 0.165 0.165 0.388
Ho 0.335 0.335 0.112
Ho 0.665 0.665 0.888
Ho 0.835 0.835 0.612
Th 0.500 0.500 0.500